Material: RbCaBe2
Method: DFT, PBE
State: optimized geometry

Computed properties:
- calculated volume (Å³/f.u.) = 124.3
- E above lowest polymorph (eV per formula unit) = 0.664
- crystal system = tetragonal
- energy of formation (eV per atom) = 1.194

Cell: 8.509 8.509 6.928 Å, 52.11 52.11 90.00°
Fractional coordinates of all 8 atoms:
Be  0.593  0.125  0.250
Be  0.157  0.625  0.250
Be  0.375  0.407  0.750
Be  0.875  0.843  0.750
Ca  0.500  0.500  0.000
Ca  0.250  0.750  0.500
Rb  0.000  0.000  0.000
Rb  0.750  0.250  0.500